DFT (GGA-PBE) results for crystalline Al6Ga5 at its relaxed geometry. Values from VASP.

```
&SYSTEM
  ibrav = 0, nat = 11, ntyp = 2
/
ATOMIC_SPECIES
Ga 69.72 Ga.upf
Al 26.98 Al.upf
CELL_PARAMETERS angstrom
6.9570 0.0000 -0.5466
3.4785 5.3604 -0.2733
2.0891 0.0000 5.1745
ATOMIC_POSITIONS crystal
Ga 0.2344 0.5312 0.5000
Ga 0.5000 0.0000 0.5000
Ga 0.6449 0.7101 0.0000
Ga 0.3551 0.2899 0.0000
Ga 0.7656 0.4688 0.5000
Al 0.0526 0.2568 0.8116
Al 0.6905 0.2568 0.1884
Al 0.8290 0.0000 0.7255
Al 0.3095 0.7432 0.8116
Al 0.1710 0.0000 0.2745
Al 0.9474 0.7432 0.1884
```

Properties
N(E_F)   0.397 states/eV per atom
Crystal system   monoclinic
Excess energy over the best structure of this formula in the dataset   5 meV/atom
Space-group type   No. 12
ΔH_f (0 K)   0.076 eV per atom

---

DFT (GGA-PBE) results for crystalline La2ZrHgRh at its relaxed geometry. Values from VASP.

```
&SYSTEM
  ibrav = 0, nat = 5, ntyp = 4
/
ATOMIC_SPECIES
Zr 91.22 Zr.upf
La 138.91 La.upf
Rh 102.91 Rh.upf
Hg 200.59 Hg.upf
CELL_PARAMETERS angstrom
-0.4784 4.5021 3.5958
-4.1295 1.7624 -2.7560
-3.5581 -3.0688 3.3689
ATOMIC_POSITIONS crystal
Zr 0.0000 0.5000 0.0000
La 0.5000 0.0000 0.0000
La 0.0000 0.0000 0.5000
Rh 0.5000 0.5000 0.5000
Hg 0.0000 0.0000 0.0000
```

Properties
N(E_F)   1.651 states/eV per atom
Crystal system   tetragonal
Excess energy over the best structure of this formula in the dataset   106 meV/atom
Space-group type   No. 123
ΔH_f (0 K)   0.836 eV per atom